## TeRu2Pt (PBE-GGA)

Data for TeRu2Pt after structural relaxation.

Properties
Its formation energy (no corrections) is 0.42 eV/atom. The calculated total energy comes out at -6.518 eV per atom.

Unit cell a=3.1051 b=4.6170 c=9.2267 alpha=90.00 beta=90.00 gamma=90.00
With the nearest neighbours (Å) after each atom.
Space group Immm (No. 71)
Unique sites:
1 Te 0.0000 0.0000 0.0000 (multiplicity 2)  4 Ru 2.60, 4 Pt 2.78
2 Ru 0.0000 0.5000 0.2736 (multiplicity 4)  2 Te 2.60, 4 Ru 2.82
3 Pt 0.0000 0.0000 0.5000 (multiplicity 2)  4 Te 2.78, 8 Ru 2.96-3.11, 2 Pt 3.11